No. 1
A geometry-optimized ZnGe2Te2F2 structure. Source: OQMD, functional PBE.

## Properties
Calculated density: 5.9 g cm⁻³
E_tot: -3.75 eV per atom

Unit cell a=3.9174 b=3.9174 c=9.2628 alpha=90.00 beta=90.00 gamma=90.00
With the nearest neighbours (Å) after each atom.
Sites, in units of the cell vectors:
Zn (0.0000, 0.0000, 0.0000)  4 Te 2.65
Ge (0.0000, 0.5000, 0.6479)  4 F 2.39
Ge (0.5000, 0.0000, 0.3521)  4 F 2.39
Te (0.0000, 0.5000, 0.1928)  2 Zn 2.65
Te (0.5000, 0.0000, 0.8072)  2 Zn 2.65
F (0.0000, 0.0000, 0.5000)  4 Ge 2.39
F (0.5000, 0.5000, 0.5000)  4 Ge 2.39

No. 2
A geometry-optimized HoH2O2F structure. Source: OQMD, functional PBE.

## Properties
M_tot: 0.000 μB/atom
ΔE to the lowest computed polymorph: 0.000 eV per atom
Calculated density: 6.6 g cm⁻³
E_tot: -6.30 eV per atom

Unit cell a=5.9571 b=3.4964 c=6.0283 alpha=90.00 beta=119.33 gamma=90.00
With the nearest neighbours (Å) after each atom.
Sites, in units of the cell vectors:
Ho (0.1593, 0.2500, 0.3237)  6 O 2.32-2.37, 3 F 2.37-2.38
Ho (0.8407, 0.7500, 0.6763)  6 O 2.32-2.37, 3 F 2.37-2.38
H (0.2495, 0.2500, 0.8767)  1 O 0.97
H (0.3698, 0.7500, 0.7446)  1 O 0.97
H (0.6302, 0.2500, 0.2554)  1 O 0.97
H (0.7505, 0.7500, 0.1233)  1 O 0.97
O (0.1118, 0.2500, 0.9185)  1 H 0.97
O (0.1942, 0.7500, 0.6049)  1 H 0.97
O (0.8058, 0.2500, 0.3951)  1 H 0.97
O (0.8882, 0.7500, 0.0815)  1 H 0.97
F (0.4257, 0.7500, 0.3123)  2 H 2.25, 3 Ho 2.37-2.38
F (0.5743, 0.2500, 0.6877)  2 H 2.25, 3 Ho 2.37-2.38

No. 3
A geometry-optimized HoH2O2F structure. Source: OQMD, functional PBE.

## Properties
M_tot: 0.000 μB/atom
ΔE to the lowest computed polymorph: 0.020 eV per atom
Calculated density: 6.4 g cm⁻³
E_tot: -6.28 eV per atom

Unit cell a=5.8025 b=3.3908 c=6.0637 alpha=90.00 beta=109.71 gamma=90.00
With the nearest neighbours (Å) after each atom.
Sites, in units of the cell vectors:
Ho (0.1428, 0.2500, 0.2946)  6 O 2.32-2.33, 2 F 2.36
Ho (0.8572, 0.7500, 0.7054)  6 O 2.32-2.33, 2 F 2.36
H (0.2672, 0.2500, 0.8645)  1 O 0.97
H (0.3514, 0.7500, 0.6818)  1 O 0.97
H (0.6486, 0.2500, 0.3182)  1 O 0.97
H (0.7328, 0.7500, 0.1355)  1 O 0.97
O (0.1189, 0.2500, 0.9056)  1 H 0.97
O (0.1858, 0.7500, 0.5690)  1 H 0.97
O (0.8142, 0.2500, 0.4310)  1 H 0.97
O (0.8811, 0.7500, 0.0944)  1 H 0.97
F (0.4150, 0.7500, 0.2679)  3 H 2.13-2.25, 2 Ho 2.36
F (0.5850, 0.2500, 0.7321)  3 H 2.13-2.25, 2 Ho 2.36

No. 4
A geometry-optimized KHIrOF4 structure. Source: OQMD, functional PBE.

## Properties
M_tot: 0.125 μB/atom
Calculated density: 5.6 g cm⁻³
E_tot: -4.82 eV per atom

Unit cell a=5.0067 b=5.5901 c=7.2513 alpha=90.00 beta=107.89 gamma=90.00
With the nearest neighbours (Å) after each atom.
Sites, in units of the cell vectors:
K (0.1310, 0.0000, 0.3004)  7 F 2.56-2.79, 1 H 2.68, 2 O 2.68-2.77
K (0.8690, 0.5000, 0.6996)  7 F 2.56-2.79, 1 H 2.68, 2 O 2.68-2.77
H (0.2236, 0.4686, 0.3678)  1 O 1.00
H (0.7764, 0.9686, 0.6322)  1 O 1.00
Ir (0.4794, 0.0457, 0.8300)  1 O 1.89, 5 F 1.93-2.07
Ir (0.5206, 0.5457, 0.1700)  1 O 1.89, 5 F 1.93-2.07
O (0.4245, 0.4277, 0.3859)  1 H 1.00
O (0.5755, 0.9277, 0.6141)  1 H 1.00
F (0.0989, 0.9257, 0.6730)  1 H 1.57
F (0.1472, 0.6751, 0.0395)  1 Ir 1.96
F (0.3605, 0.3536, 0.7151)  1 Ir 1.93
F (0.3859, 0.2179, 0.0560)  2 Ir 2.04-2.07
F (0.6141, 0.7179, 0.9440)  2 Ir 2.04-2.07
F (0.6395, 0.8536, 0.2848)  1 Ir 1.93
F (0.8528, 0.1751, 0.9605)  1 Ir 1.96
F (0.9011, 0.4257, 0.3270)  1 H 1.57

No. 5
A geometry-optimized KHOsOF4 structure. Source: OQMD, functional PBE.

## Properties
M_tot: 0.250 μB/atom
Calculated density: 5.5 g cm⁻³
E_tot: -5.18 eV per atom

Unit cell a=4.9913 b=5.6507 c=7.2386 alpha=90.00 beta=107.45 gamma=90.00
With the nearest neighbours (Å) after each atom.
Sites, in units of the cell vectors:
K (0.1467, 0.0000, 0.3081)  7 F 2.55-2.78, 1 O 2.62, 1 H 2.65
K (0.8533, 0.5000, 0.6919)  7 F 2.55-2.78, 1 O 2.62, 1 H 2.65
H (0.2013, 0.4634, 0.3587)  1 O 1.00
H (0.7987, 0.9634, 0.6413)  1 O 1.00
Os (0.4808, 0.0436, 0.8333)  1 O 1.89, 5 F 1.93-2.11
Os (0.5192, 0.5436, 0.1667)  1 O 1.89, 5 F 1.93-2.11
O (0.4099, 0.4663, 0.3884)  1 H 1.00
O (0.5901, 0.9663, 0.6116)  1 H 1.00
F (0.1122, 0.9068, 0.6769)  1 H 1.54
F (0.1536, 0.6854, 0.0372)  1 Os 1.96
F (0.3468, 0.3480, 0.7230)  1 Os 1.93
F (0.3879, 0.2151, 0.0658)  2 Os 2.03-2.11
F (0.6121, 0.7151, 0.9342)  2 Os 2.03-2.11
F (0.6532, 0.8480, 0.2770)  1 Os 1.93
F (0.8464, 0.1854, 0.9628)  1 Os 1.96
F (0.8878, 0.4068, 0.3231)  1 H 1.54

No. 6
A geometry-optimized KHPtOF4 structure. Source: OQMD, functional PBE.

## Properties
M_tot: 0.000 μB/atom
Calculated density: 5.6 g cm⁻³
E_tot: -4.42 eV per atom

Unit cell a=5.0285 b=5.5936 c=7.2761 alpha=90.00 beta=108.48 gamma=90.00
With the nearest neighbours (Å) after each atom.
Sites, in units of the cell vectors:
K (0.1381, 0.0000, 0.3080)  7 F 2.57-2.81, 2 O 2.61-2.79, 1 H 2.66
K (0.8619, 0.5000, 0.6921)  7 F 2.57-2.81, 2 O 2.61-2.79, 1 H 2.66
H (0.2179, 0.4697, 0.3556)  1 O 0.99
H (0.7821, 0.9697, 0.6444)  1 O 0.99
Pt (0.4809, 0.0506, 0.8342)  5 F 1.93-2.11, 1 O 1.93
Pt (0.5191, 0.5506, 0.1658)  5 F 1.93-2.11, 1 O 1.93
O (0.4218, 0.4366, 0.3871)  1 H 0.99
O (0.5782, 0.9366, 0.6129)  1 H 0.99
F (0.1072, 0.9252, 0.6821)  1 H 1.59
F (0.1481, 0.6799, 0.0366)  1 Pt 1.94
F (0.3572, 0.3566, 0.7141)  1 Pt 1.93
F (0.3787, 0.2204, 0.0616)  2 Pt 2.04-2.11
F (0.6213, 0.7204, 0.9384)  2 Pt 2.04-2.11
F (0.6428, 0.8566, 0.2859)  1 Pt 1.93
F (0.8519, 0.1799, 0.9634)  1 Pt 1.94
F (0.8928, 0.4252, 0.3179)  1 H 1.59

No. 7
A geometry-optimized KReHOF4 structure. Source: OQMD, functional PBE.

## Properties
M_tot: 0.375 μB/atom
Calculated density: 5.3 g cm⁻³
E_tot: -5.56 eV per atom

Unit cell a=5.0028 b=5.7013 c=7.3018 alpha=90.00 beta=107.34 gamma=90.00
With the nearest neighbours (Å) after each atom.
Sites, in units of the cell vectors:
K (0.1487, 0.0000, 0.3083)  7 F 2.57-2.82, 2 O 2.63-2.84, 1 H 2.69
K (0.8513, 0.5000, 0.6917)  7 F 2.57-2.82, 2 O 2.63-2.84, 1 H 2.69
Re (0.4808, 0.0418, 0.8321)  1 O 1.91, 5 F 1.95-2.10
Re (0.5192, 0.5418, 0.1679)  1 O 1.91, 5 F 1.95-2.10
H (0.2109, 0.4647, 0.3697)  1 O 0.98
H (0.7891, 0.9647, 0.6303)  1 O 0.98
O (0.4125, 0.4461, 0.3876)  1 H 0.98
O (0.5875, 0.9461, 0.6124)  1 H 0.98
F (0.1121, 0.9107, 0.6805)  1 H 1.58
F (0.1479, 0.6687, 0.0426)  1 Re 1.95
F (0.3453, 0.3469, 0.7238)  1 Re 1.95
F (0.3919, 0.2051, 0.0656)  2 Re 2.09-2.10
F (0.6081, 0.7051, 0.9344)  2 Re 2.09-2.10
F (0.6547, 0.8469, 0.2762)  1 Re 1.95
F (0.8521, 0.1687, 0.9574)  1 Re 1.95
F (0.8879, 0.4107, 0.3195)  1 H 1.58

Copy entry 5 word for word.
A geometry-optimized KHOsOF4 structure. Source: OQMD, functional PBE.

## Properties
M_tot: 0.250 μB/atom
Calculated density: 5.5 g cm⁻³
E_tot: -5.18 eV per atom

Unit cell a=4.9913 b=5.6507 c=7.2386 alpha=90.00 beta=107.45 gamma=90.00
With the nearest neighbours (Å) after each atom.
Sites, in units of the cell vectors:
K (0.1467, 0.0000, 0.3081)  7 F 2.55-2.78, 1 O 2.62, 1 H 2.65
K (0.8533, 0.5000, 0.6919)  7 F 2.55-2.78, 1 O 2.62, 1 H 2.65
H (0.2013, 0.4634, 0.3587)  1 O 1.00
H (0.7987, 0.9634, 0.6413)  1 O 1.00
Os (0.4808, 0.0436, 0.8333)  1 O 1.89, 5 F 1.93-2.11
Os (0.5192, 0.5436, 0.1667)  1 O 1.89, 5 F 1.93-2.11
O (0.4099, 0.4663, 0.3884)  1 H 1.00
O (0.5901, 0.9663, 0.6116)  1 H 1.00
F (0.1122, 0.9068, 0.6769)  1 H 1.54
F (0.1536, 0.6854, 0.0372)  1 Os 1.96
F (0.3468, 0.3480, 0.7230)  1 Os 1.93
F (0.3879, 0.2151, 0.0658)  2 Os 2.03-2.11
F (0.6121, 0.7151, 0.9342)  2 Os 2.03-2.11
F (0.6532, 0.8480, 0.2770)  1 Os 1.93
F (0.8464, 0.1854, 0.9628)  1 Os 1.96
F (0.8878, 0.4068, 0.3231)  1 H 1.54